(1)
! Pr2GaCu3Ni12, relaxed, DFT PBE-GGA; values from VASP
&SYSTEM
  ibrav = 0, nat = 18, ntyp = 4
/
ATOMIC_SPECIES
Pr 140.91 Pr.upf
Ga 69.72 Ga.upf
Cu 63.55 Cu.upf
Ni 58.69 Ni.upf
ATOMIC_POSITIONS crystal
Pr 0.151 0.151 0.151
Pr 0.849 0.849 0.849
Ga 0.500 0.500 0.500
Cu 0.000 0.500 0.500
Cu 0.500 0.000 0.500
Cu 0.500 0.500 0.000
Ni 0.080 0.080 0.690
Ni 0.080 0.690 0.080
Ni 0.150 0.566 0.566
Ni 0.310 0.920 0.920
Ni 0.434 0.434 0.850
Ni 0.434 0.850 0.434
Ni 0.566 0.150 0.566
Ni 0.566 0.566 0.150
Ni 0.690 0.080 0.080
Ni 0.850 0.434 0.434
Ni 0.920 0.310 0.920
Ni 0.920 0.920 0.310
CELL_PARAMETERS angstrom
2.994 1.728 8.637
-2.994 1.728 8.637
0.000 -3.457 8.637
! - E_form (eV/atom) = 0.1824
! - crystal system = trigonal
! - space-group type = R-3m



(2)
! Ga2Cu2Ni2Pt, relaxed, DFT PBE-GGA; values from VASP
&SYSTEM
  ibrav = 0, nat = 7, ntyp = 4
/
ATOMIC_SPECIES
Ga 69.72 Ga.upf
Cu 63.55 Cu.upf
Ni 58.69 Ni.upf
Pt 195.08 Pt.upf
ATOMIC_POSITIONS crystal
Ga 0.214 0.214 0.185
Ga 0.786 0.786 0.815
Cu 0.073 0.073 0.698
Cu 0.927 0.927 0.302
Ni 0.361 0.361 0.566
Ni 0.639 0.639 0.434
Pt 0.500 0.500 0.000
CELL_PARAMETERS angstrom
4.054 -1.843 0.000
4.054 1.843 0.000
-0.861 0.000 6.071
! - E_form (eV/atom) = -0.2859
! - crystal system = monoclinic
! - space-group type = C2/m



(3)
! PuGa4CuNi2, relaxed, DFT PBE-GGA; values from VASP
&SYSTEM
  ibrav = 0, nat = 8, ntyp = 4
/
ATOMIC_SPECIES
Pu 244.00 Pu.upf
Ga 69.72 Ga.upf
Cu 63.55 Cu.upf
Ni 58.69 Ni.upf
ATOMIC_POSITIONS crystal
Pu 0.000 0.000 0.000
Ga 0.128 0.128 0.128
Ga 0.402 0.402 0.402
Ga 0.598 0.598 0.598
Ga 0.872 0.872 0.872
Cu 0.500 0.500 0.500
Ni 0.231 0.231 0.231
Ni 0.769 0.769 0.769
CELL_PARAMETERS angstrom
2.064 1.192 8.668
-2.064 1.192 8.668
0.000 -2.384 8.668
! - E_form (eV/atom) = -0.2701
! - crystal system = trigonal
! - space-group type = R-3m



(4)
! Pu2Ga4Cu3Ni, relaxed, DFT PBE-GGA; values from VASP
&SYSTEM
  ibrav = 0, nat = 10, ntyp = 4
/
ATOMIC_SPECIES
Pu 244.00 Pu.upf
Ga 69.72 Ga.upf
Cu 63.55 Cu.upf
Ni 58.69 Ni.upf
ATOMIC_POSITIONS crystal
Pu 0.000 0.500 0.244
Pu 0.500 0.000 0.756
Ga 0.000 0.000 0.500
Ga 0.000 0.500 0.875
Ga 0.500 0.000 0.125
Ga 0.500 0.500 0.500
Cu 0.000 0.000 0.000
Cu 0.000 0.500 0.636
Cu 0.500 0.000 0.364
Ni 0.500 0.500 0.000
CELL_PARAMETERS angstrom
4.155 0.000 0.000
0.000 4.155 0.000
0.000 0.000 10.056
! - E_form (eV/atom) = -0.2587
! - crystal system = tetragonal
! - space-group type = P-4m2



What did the third record say?
! PuGa4CuNi2, relaxed, DFT PBE-GGA; values from VASP
&SYSTEM
  ibrav = 0, nat = 8, ntyp = 4
/
ATOMIC_SPECIES
Pu 244.00 Pu.upf
Ga 69.72 Ga.upf
Cu 63.55 Cu.upf
Ni 58.69 Ni.upf
ATOMIC_POSITIONS crystal
Pu 0.000 0.000 0.000
Ga 0.128 0.128 0.128
Ga 0.402 0.402 0.402
Ga 0.598 0.598 0.598
Ga 0.872 0.872 0.872
Cu 0.500 0.500 0.500
Ni 0.231 0.231 0.231
Ni 0.769 0.769 0.769
CELL_PARAMETERS angstrom
2.064 1.192 8.668
-2.064 1.192 8.668
0.000 -2.384 8.668
! - E_form (eV/atom) = -0.2701
! - crystal system = trigonal
! - space-group type = R-3m



- E_form of number 3 (PuGa4CuNi2)?
  -0.2701 eV/atom



Repeat the first record exactly.
! Pr2GaCu3Ni12, relaxed, DFT PBE-GGA; values from VASP
&SYSTEM
  ibrav = 0, nat = 18, ntyp = 4
/
ATOMIC_SPECIES
Pr 140.91 Pr.upf
Ga 69.72 Ga.upf
Cu 63.55 Cu.upf
Ni 58.69 Ni.upf
ATOMIC_POSITIONS crystal
Pr 0.151 0.151 0.151
Pr 0.849 0.849 0.849
Ga 0.500 0.500 0.500
Cu 0.000 0.500 0.500
Cu 0.500 0.000 0.500
Cu 0.500 0.500 0.000
Ni 0.080 0.080 0.690
Ni 0.080 0.690 0.080
Ni 0.150 0.566 0.566
Ni 0.310 0.920 0.920
Ni 0.434 0.434 0.850
Ni 0.434 0.850 0.434
Ni 0.566 0.150 0.566
Ni 0.566 0.566 0.150
Ni 0.690 0.080 0.080
Ni 0.850 0.434 0.434
Ni 0.920 0.310 0.920
Ni 0.920 0.920 0.310
CELL_PARAMETERS angstrom
2.994 1.728 8.637
-2.994 1.728 8.637
0.000 -3.457 8.637
! - E_form (eV/atom) = 0.1824
! - crystal system = trigonal
! - space-group type = R-3m